(1)
This record from Alexandria describes a relaxed structure of Na2LiPmCl6. The functional is PBE.

Unit cell a=6.967 b=6.963 c=7.398 alpha=61.99 beta=61.97 gamma=60.00
Element x y z (fractional)
Pm: 0.321 0.321 0.036
Li: 0.812 0.812 0.564
Na: 0.524 0.524 0.430
Cl: 0.201 0.939 0.260
Cl: 0.939 0.600 0.260
Na: 0.020 0.020 0.940
Cl: 0.094 0.445 0.755
Cl: 0.600 0.201 0.260
Cl: 0.445 0.706 0.755
Cl: 0.707 0.093 0.755

Results
DFT total energy = -4.02 eV/atom


(2)
This record from Alexandria describes a relaxed structure of NaLi2PmCl6. The functional is PBE.

Unit cell a=6.769 b=6.769 c=7.278 alpha=62.28 beta=62.29 gamma=60.01
Element x y z (fractional)
Li: 0.016 0.016 0.952
Cl: 0.132 0.379 0.753
Cl: 0.614 0.242 0.247
Cl: 0.896 0.614 0.247
Na: 0.811 0.811 0.567
Pm: 0.317 0.317 0.049
Cl: 0.378 0.738 0.753
Cl: 0.737 0.132 0.753
Cl: 0.242 0.896 0.247
Li: 0.517 0.517 0.447

Results
DFT total energy = -4.08 eV/atom


(3)
This record from Alexandria describes a relaxed structure of NaLiPm2Cl8. The functional is PBE.

Unit cell a=6.506 b=6.476 c=8.338 alpha=90.00 beta=90.00 gamma=85.48
Element x y z (fractional)
Cl: 0.310 0.304 0.000
Cl: 0.690 0.696 0.000
Na: 0.000 0.000 0.500
Pm: 0.500 0.500 0.246
Li: 0.000 0.000 0.000
Cl: 0.193 0.803 0.767
Pm: 0.500 0.500 0.754
Cl: 0.193 0.803 0.233
Cl: 0.807 0.197 0.767
Cl: 0.315 0.310 0.500
Cl: 0.807 0.197 0.233
Cl: 0.685 0.690 0.500

Results
DFT total energy = -4.39 eV/atom


(4)
This record from Alexandria describes a relaxed structure of NaLiPtCl6. The functional is PBE.

Unit cell a=6.169 b=6.169 c=11.463 alpha=90.00 beta=90.00 gamma=90.00
Element x y z (fractional)
Pt: 0.000 0.000 0.335
Cl: 0.179 0.821 0.488
Pt: 0.500 0.500 0.835
Cl: 0.189 0.811 0.188
Na: 0.000 0.000 0.997
Cl: 0.270 0.270 0.329
Cl: 0.730 0.730 0.329
Li: 0.000 0.000 0.658
Cl: 0.311 0.311 0.688
Cl: 0.811 0.189 0.188
Li: 0.500 0.500 0.158
Cl: 0.321 0.321 0.988
Cl: 0.679 0.679 0.988
Cl: 0.689 0.689 0.688
Cl: 0.821 0.179 0.488
Cl: 0.230 0.770 0.829
Cl: 0.770 0.230 0.829
Na: 0.500 0.500 0.497

Results
DFT total energy = -3.27 eV/atom


(5)
This record from Alexandria describes a relaxed structure of NaLi2PuCl8. The functional is PBE.

Unit cell a=6.349 b=7.130 c=8.585 alpha=71.65 beta=91.51 gamma=101.52
Each line ends with the local moment (μB).
Element x y z (fractional)
Li: 0.524 0.366 0.665  0.00
Cl: 0.826 0.175 0.735  -0.08
Cl: 0.677 0.711 0.072  -0.10
Cl: 0.174 0.825 0.265  -0.08
Na: 0.000 0.000 0.500  0.00
Li: 0.476 0.634 0.335  0.00
Cl: 0.354 0.290 0.444  -0.05
Cl: 0.830 0.177 0.156  -0.12
Cl: 0.323 0.289 0.928  -0.10
Pu: 0.000 0.000 0.000  3.75
Cl: 0.646 0.710 0.556  -0.05
Cl: 0.170 0.823 0.844  -0.12

Results
DFT total energy = -4.42 eV/atom


(6)
This record from Alexandria describes a relaxed structure of NaLiPuCl5. The functional is PBE.

Unit cell a=7.336 b=7.336 c=9.924 alpha=101.96 beta=101.96 gamma=111.60
Each line ends with the local moment (μB).
Element x y z (fractional)
Li: 0.299 0.701 0.750  0.00
Cl: 0.904 0.096 0.750  -0.04
Li: 0.701 0.299 0.250  0.00
Cl: 0.342 0.977 0.649  -0.02
Pu: 0.000 0.000 0.000  5.03
Cl: 0.658 0.023 0.351  -0.02
Na: 0.393 0.607 0.250  0.00
Cl: 0.977 0.342 0.149  -0.02
Cl: 0.260 0.406 0.565  -0.02
Cl: 0.406 0.260 0.065  -0.02
Cl: 0.594 0.740 0.935  -0.02
Cl: 0.023 0.658 0.851  -0.02
Na: 0.607 0.393 0.750  0.00
Pu: 0.000 0.000 0.500  5.03
Cl: 0.740 0.594 0.435  -0.02
Cl: 0.096 0.904 0.250  -0.04

Results
DFT total energy = -5.18 eV/atom


(7)
This record from Alexandria describes a relaxed structure of NaLiPuCl6. The functional is PBE.

Unit cell a=6.659 b=6.659 c=12.651 alpha=90.00 beta=90.00 gamma=120.00
Each line ends with the local moment (μB).
Element x y z (fractional)
Cl: 0.646 0.000 0.866  -0.06
Cl: 0.000 0.646 0.366  -0.06
Cl: 0.354 0.353 0.366  -0.06
Cl: 0.000 0.647 0.866  -0.06
Cl: 0.647 0.000 0.366  -0.06
Pu: 0.333 0.667 0.750  4.35
Cl: 0.000 0.354 0.634  -0.06
Cl: 0.646 0.647 0.634  -0.06
Cl: 0.647 0.646 0.134  -0.06
Li: 0.667 0.333 0.750  0.00
Li: 0.333 0.667 0.250  0.00
Na: 0.000 0.000 0.000  0.00
Cl: 0.353 0.000 0.634  -0.06
Na: 0.000 0.000 0.500  0.00
Pu: 0.667 0.333 0.250  4.35
Cl: 0.354 0.000 0.134  -0.06
Cl: 0.353 0.354 0.866  -0.06
Cl: 0.000 0.353 0.134  -0.06

Results
DFT total energy = -4.93 eV/atom


(8)
This record from Alexandria describes a relaxed structure of Rb2NaLiCl6. The functional is PBE.

Unit cell a=7.675 b=7.675 c=7.080 alpha=57.18 beta=57.18 gamma=90.00
Each line ends with the local moment (μB).
Element x y z (fractional)
Rb: 0.250 0.750 0.500  0.00
Cl: 0.256 0.256 0.000  0.23
Cl: 0.256 0.744 0.000  0.23
Rb: 0.750 0.250 0.500  0.00
Li: 0.500 0.500 0.000  0.00
Cl: 0.744 0.256 0.000  0.23
Cl: 0.735 0.735 0.530  0.31
Cl: 0.744 0.744 0.000  0.23
Na: 0.000 0.000 0.000  0.00
Cl: 0.265 0.265 0.470  0.31

Results
DFT total energy = -2.89 eV/atom